# 1
Below is a relaxed HRu3W crystal, with properties calculated at the GGA-PBE level.

extended XYZ file:
```
10
Lattice="4.4274 -2.7848 0.0000 4.4274 2.7848 0.0000 -0.0039 0.0000 4.8490" Properties=species:S:1:pos:R:3 pbc="T T T"
H 0.0000 0.0000 0.0000
H 6.4984 0.0000 4.7552
Ru 3.2352 1.3793 3.8834
Ru 5.4677 1.3824 0.7716
Ru 3.2352 -1.3793 3.8834
Ru 5.4249 0.0000 3.0953
Ru 5.4677 -1.3824 0.7716
Ru 7.6864 0.0000 1.5783
W 1.0023 0.0000 3.0921
W 3.3253 0.0000 1.5136
```

Results
size of the total moment = 0.00 μB/f.u.
total energy = -8.86 eV per atom

=====

# 2
Below is a relaxed H2Ru2W crystal, with properties calculated at the GGA-PBE level.

extended XYZ file:
```
5
Lattice="-1.4381 1.4381 6.0408 1.4381 -1.4381 6.0408 1.4381 1.4381 -6.0408" Properties=species:S:1:pos:R:3 pbc="T T T"
H 1.4381 0.0000 3.0204
H 0.0000 1.4381 3.0204
Ru 0.0000 0.0000 1.8099
Ru 0.0000 0.0000 10.2717
W 0.0000 0.0000 6.0408
```

Results
size of the total moment = 0.00 μB/f.u.
total energy = -7.57 eV per atom

=====

# 3
Below is a relaxed HRu3W crystal, with properties calculated at the GGA-PBE level.

extended XYZ file:
```
5
Lattice="3.9052 0.0000 0.0000 0.0000 3.9052 0.0000 0.0000 0.0000 3.9052" Properties=species:S:1:pos:R:3 pbc="T T T"
H 0.0000 0.0000 0.0000
Ru 0.0000 0.0000 1.9526
Ru 0.0000 1.9526 0.0000
Ru 1.9526 0.0000 0.0000
W 1.9526 1.9526 1.9526
```

Results
size of the total moment = 0.00 μB/f.u.
total energy = -8.88 eV per atom

=====

# 4
Below is a relaxed HRu3W crystal, with properties calculated at the GGA-PBE level.

extended XYZ file:
```
10
Lattice="4.8238 0.0000 0.0000 0.0234 5.2318 0.0000 0.0232 2.2339 4.7312" Properties=species:S:1:pos:R:3 pbc="T T T"
H 0.0000 0.0000 0.0000
H 2.3900 4.7478 4.6785
Ru 0.8185 3.5263 0.6042
Ru 0.8397 2.0431 2.9400
Ru 1.5789 4.6463 2.9081
Ru 1.5800 0.8955 0.6271
Ru 4.0264 3.9134 4.1196
Ru 4.0270 5.4164 1.7936
W 3.1901 6.5303 4.1099
W 3.2039 2.8128 1.8041
```

Results
size of the total moment = 0.00 μB/f.u.
total energy = -8.85 eV per atom

=====

# 5
Below is a relaxed ZrHRu2W crystal, with properties calculated at the GGA-PBE level.

extended XYZ file:
```
5
Lattice="4.1184 0.0000 0.0000 0.0000 4.1184 0.0000 0.0000 0.0000 3.9610" Properties=species:S:1:pos:R:3 pbc="T T T"
Zr 0.0000 0.0000 0.0000
H 2.0592 2.0592 1.9805
Ru 0.0000 2.0592 1.9805
Ru 2.0592 0.0000 1.9805
W 2.0592 2.0592 0.0000
```

Results
size of the total moment = 0.00 μB/f.u.
total energy = -8.68 eV per atom

=====

# 6
Below is a relaxed ZrHRu2W crystal, with properties calculated at the GGA-PBE level.

extended XYZ file:
```
5
Lattice="4.8915 0.0000 0.0000 0.0000 4.8915 0.0000 0.0000 0.0000 3.2402" Properties=species:S:1:pos:R:3 pbc="T T T"
Zr 0.0000 0.0000 0.0000
H 0.0000 0.0000 1.6201
Ru 0.0000 2.4457 0.0000
Ru 2.4457 0.0000 0.0000
W 2.4457 2.4457 1.6201
```

Results
size of the total moment = 0.00 μB/f.u.
total energy = -7.69 eV per atom

=====

# 7
Below is a relaxed YH3Ru crystal, with properties calculated at the GGA-PBE level.

extended XYZ file:
```
5
Lattice="3.6455 0.0000 0.0000 0.0000 3.6455 0.0000 0.0000 0.0000 3.6455" Properties=species:S:1:pos:R:3 pbc="T T T"
Y 0.0000 0.0000 0.0000
H 0.0000 1.8227 1.8227
H 1.8227 0.0000 1.8227
H 1.8227 1.8227 0.0000
Ru 1.8227 1.8227 1.8227
```

Results
size of the total moment = 0.00 μB/f.u.
total energy = -5.63 eV per atom

=====

# 8
Below is a relaxed YH4Ru crystal, with properties calculated at the GGA-PBE level.

extended XYZ file:
```
12
Lattice="2.1397 -3.0689 0.0000 2.1397 3.0689 0.0000 -0.0156 0.0000 8.3987" Properties=species:S:1:pos:R:3 pbc="T T T"
Y 0.0000 0.0000 0.0000
Y -0.0078 0.0000 4.1993
H 1.0546 0.6584 2.1012
H 1.0468 -0.6584 6.3006
H 2.1311 0.8910 4.6022
H 2.1250 0.8910 7.9958
H 2.1389 -0.8910 0.4029
H 2.1328 -0.8910 3.7964
H 3.2171 0.6584 2.0981
H 3.2093 -0.6584 6.2974
Ru 2.1280 0.9104 6.2990
Ru 2.1358 -0.9104 2.0997
```

Results
size of the total moment = 0.00 μB/f.u.
total energy = -5.25 eV per atom